# Ac2DyUO8, optimized geometry, DFT GGA-PBE
data_Ac2DyUO8
_cell_length_a 4.005
_cell_length_b 5.727
_cell_length_c 7.778
_cell_angle_alpha 90.00
_cell_angle_beta 90.00
_cell_angle_gamma 90.00
_space_group_name_H-M_alt 'P 1'
_space_group_IT_number 1
_space_group_name_Hall 'P 1'
loop_
_atom_site_label
_atom_site_type_symbol
_atom_site_fract_x
_atom_site_fract_y
_atom_site_fract_z
_atom_site_occupancy
Ac1 Ac 0.000 0.000 0.248 1
Ac2 Ac 0.000 0.000 0.752 1
Dy1 Dy 0.500 0.500 0.500 1
U1 U 0.500 0.500 0.000 1
O1 O 0.000 0.271 0.500 1
O2 O 0.000 0.286 0.000 1
O3 O 0.000 0.714 0.000 1
O4 O 0.000 0.729 0.500 1
O5 O 0.500 0.277 0.223 1
O6 O 0.500 0.277 0.777 1
O7 O 0.500 0.723 0.223 1
O8 O 0.500 0.723 0.777 1
# Energy relative to the elements, uncorrected = -3.1749 eV/atom

# Hf2Al5Ga, optimized geometry, DFT GGA-PBE
data_Hf2Al5Ga
_cell_length_a 5.770
_cell_length_b 11.544
_cell_length_c 4.108
_cell_angle_alpha 90.00
_cell_angle_beta 90.00
_cell_angle_gamma 90.00
_space_group_name_H-M_alt 'P 1'
_space_group_IT_number 1
_space_group_name_Hall 'P 1'
loop_
_atom_site_label
_atom_site_type_symbol
_atom_site_fract_x
_atom_site_fract_y
_atom_site_fract_z
_atom_site_occupancy
Hf1 Hf 0.246 0.124 0.000 1
Hf2 Hf 0.254 0.624 0.000 1
Hf3 Hf 0.746 0.376 0.000 1
Hf4 Hf 0.754 0.876 0.000 1
Al1 Al 0.000 0.500 0.500 1
Al2 Al 0.003 0.749 0.500 1
Al3 Al 0.246 0.373 0.000 1
Al4 Al 0.254 0.873 0.000 1
Al5 Al 0.497 0.249 0.500 1
Al6 Al 0.500 0.000 0.500 1
Al7 Al 0.503 0.751 0.500 1
Al8 Al 0.746 0.127 0.000 1
Al9 Al 0.754 0.627 0.000 1
Al10 Al 0.997 0.251 0.500 1
Ga1 Ga 0.000 0.000 0.500 1
Ga2 Ga 0.500 0.500 0.500 1
# DFT formation energy = -0.37 eV per atom

Copy entry 2 word for word.
# Hf2Al5Ga, optimized geometry, DFT GGA-PBE
data_Hf2Al5Ga
_cell_length_a 5.770
_cell_length_b 11.544
_cell_length_c 4.108
_cell_angle_alpha 90.00
_cell_angle_beta 90.00
_cell_angle_gamma 90.00
_space_group_name_H-M_alt 'P 1'
_space_group_IT_number 1
_space_group_name_Hall 'P 1'
loop_
_atom_site_label
_atom_site_type_symbol
_atom_site_fract_x
_atom_site_fract_y
_atom_site_fract_z
_atom_site_occupancy
Hf1 Hf 0.246 0.124 0.000 1
Hf2 Hf 0.254 0.624 0.000 1
Hf3 Hf 0.746 0.376 0.000 1
Hf4 Hf 0.754 0.876 0.000 1
Al1 Al 0.000 0.500 0.500 1
Al2 Al 0.003 0.749 0.500 1
Al3 Al 0.246 0.373 0.000 1
Al4 Al 0.254 0.873 0.000 1
Al5 Al 0.497 0.249 0.500 1
Al6 Al 0.500 0.000 0.500 1
Al7 Al 0.503 0.751 0.500 1
Al8 Al 0.746 0.127 0.000 1
Al9 Al 0.754 0.627 0.000 1
Al10 Al 0.997 0.251 0.500 1
Ga1 Ga 0.000 0.000 0.500 1
Ga2 Ga 0.500 0.500 0.500 1
# DFT formation energy = -0.37 eV per atom